# 1
{
  "formula": "CsMnTl2I6",
  "functional": "PBE",
  "state": "optimized geometry",
  "lattice_angstrom": [[-4.988, -0.364, 6.925], [-4.218, -7.193, 1.862], [2.758, -4.871, 7.008]],
  "species": ["I", "Tl", "Cs", "I", "Mn", "I", "I", "I", "Tl", "I"],
  "frac_coords": [[0.981, 0.523, 0.224], [0.999, 0.999, 0.003], [0.812, 0.811, 0.565], [0.367, 0.689, 0.782], [0.331, 0.331, 0.009], [0.688, 0.163, 0.783], [0.523, 0.272, 0.224], [0.163, 0.367, 0.783], [0.527, 0.528, 0.418], [0.271, 0.980, 0.224]],
  "crystal_system": "triclinic",
  "energy_ev_per_atom": -3.0614,
  "mass_density_g_cm3": 4.77,
  "spacegroup": "No. 1"
}

# 2
{
  "formula": "Cs3Mn2TlI9",
  "functional": "PBE",
  "state": "optimized geometry",
  "lattice_angstrom": [[-3.652, 4.882, -5.847], [6.889, -4.485, -1.946], [-6.131, -8.134, -2.961]],
  "species": ["Cs", "I", "Cs", "Mn", "I", "Tl", "I", "I", "I", "Cs", "I", "I", "Mn", "I", "I"],
  "frac_coords": [[0.333, 0.667, 0.675], [0.353, 0.176, 0.691], [0.667, 0.333, 0.325], [0.667, 0.333, 0.840], [0.000, 0.500, 0.000], [0.000, 0.000, 0.500], [0.176, 0.824, 0.309], [0.824, 0.647, 0.691], [0.500, 0.500, 0.000], [0.000, 0.000, 0.000], [0.176, 0.353, 0.309], [0.824, 0.176, 0.691], [0.333, 0.667, 0.160], [0.500, 0.000, 0.000], [0.647, 0.824, 0.309]],
  "crystal_system": "trigonal",
  "energy_ev_per_atom": -3.3525,
  "mass_density_g_cm3": 4.70,
  "spacegroup": "No. 164"
}

# 3
{
  "formula": "CsTmMnI6",
  "functional": "PBE",
  "state": "optimized geometry",
  "lattice_angstrom": [[-3.550, -6.200, 2.824], [-2.816, -5.322, -4.773], [7.659, -4.272, 0.246]],
  "species": ["I", "I", "Cs", "I", "I", "I", "Mn", "Tm", "I"],
  "frac_coords": [[0.992, 0.633, 0.695], [0.633, 0.992, 0.306], [0.000, 0.000, 0.000], [0.633, 0.375, 0.694], [0.375, 0.992, 0.694], [0.375, 0.633, 0.306], [0.666, 0.667, 0.500], [0.333, 0.333, 0.500], [0.992, 0.375, 0.306]],
  "crystal_system": "trigonal",
  "energy_ev_per_atom": -3.7467,
  "mass_density_g_cm3": 4.14,
  "spacegroup": "No. 149"
}

# 4
{
  "formula": "CsMnV2I8",
  "functional": "PBE",
  "state": "optimized geometry",
  "lattice_angstrom": [[-5.362, -1.667, 4.892], [-1.066, -7.067, 2.092], [4.807, -1.569, 10.403]],
  "species": ["I", "I", "I", "Cs", "V", "I", "I", "I", "I", "V", "I", "Mn"],
  "frac_coords": [[0.179, 0.179, 0.462], [0.733, 0.063, 0.840], [0.364, 0.733, 0.840], [0.500, 0.500, 0.500], [0.261, 0.261, 0.218], [0.063, 0.364, 0.840], [0.821, 0.821, 0.538], [0.937, 0.636, 0.160], [0.636, 0.267, 0.160], [0.739, 0.739, 0.782], [0.267, 0.937, 0.160], [0.000, 0.000, 0.000]],
  "crystal_system": "trigonal",
  "energy_ev_per_atom": -3.8935,
  "mass_density_g_cm3": 4.20,
  "spacegroup": "No. 148"
}

no.,formation energy (no corrections) (kJ per mole of atoms)
1,-63
2,-84
3,-106
4,-49